# TlOs2Cl

TlOs2Cl after structural relaxation (PBE-GGA, Alexandria via LeMat-Bulk).

Summary:
**ΔE_f (raw)**: 1661 meV per atom
**Relative energy among the computed polymorphs**: 1297 meV per atom
**Uncorrected energy**: -20.0 eV per cell

```
data_TlOs2Cl
_space_group_name_H-M_alt 'P 4/m m m'
_space_group_IT_number 123
_space_group_name_Hall '-P 4 2'
_cell_length_a 4.603
_cell_length_b 4.603
_cell_length_c 3.210
_cell_angle_alpha 90.00
_cell_angle_beta 90.00
_cell_angle_gamma 90.00
loop_
_atom_site_label
_atom_site_type_symbol
_atom_site_fract_x
_atom_site_fract_y
_atom_site_fract_z
Tl1 Tl 0.000 0.000 0.000
Os1 Os 0.000 0.500 0.500
Cl1 Cl 0.500 0.500 0.000
```